No. 1
RbAgI2O: optimized geometry, PBE-GGA.

formation energy from raw total energies	2.1	eV per formula unit
excess energy over the best structure of this formula in the dataset	816.6	meV per atom

Cell: 6.8064 6.8064 4.1885 Å, 90.00 90.00 90.00°
Space group P4/mmm (No. 123)
Asymmetric unit:
Rb1 0.0000 0.0000 0.0000 x1
Ag1 0.5000 0.5000 0.5000 x1
I1 0.0000 0.5000 0.0000 x2
O1 0.0000 0.0000 0.5000 x1

---

No. 2
Sm2Th4Sc5: optimized geometry, PBE-GGA.

ΔH_f (0 K)	0.05	eV/atom

Cell: 17.5814 3.4765 10.3564 Å, 90.00 91.99 90.00°
Space group C2/m (No. 12)
Asymmetric unit:
Sm1 0.0980 0.0000 0.4601 x4
Th1 0.0428 0.5000 0.7310 x4
Th2 0.1813 0.0000 0.9078 x4
Sc1 0.0000 0.0000 0.0000 x2
Sc2 0.1365 0.5000 0.1708 x4
Sc3 0.2297 0.5000 0.6485 x4

---

No. 3
PuInBr4: optimized geometry, PBE-GGA.

formation energy from raw total energies	-7.4	eV per formula unit
excess energy over the best structure of this formula in the dataset	0.0	meV per atom

Cell: 10.0703 15.6186 7.2540 Å, 90.00 125.63 90.00°
Space group C2/c (No. 15)
Asymmetric unit:
Pu1 0.0000 0.0793 0.2500 x4
In1 0.0000 0.3403 0.7500 x4
Br1 0.1583 0.2093 0.1723 x8
Br2 0.2154 0.0406 0.7290 x8

---

No. 4
NiRh2: optimized geometry, PBE-GGA.

ΔH_f (0 K)	0.05	eV/atom
excess energy over the best structure of this formula in the dataset	9.3	meV per atom

Cell: 2.6957 2.6957 10.9033 Å, 90.00 90.00 90.00°
Space group I4/mmm (No. 139)
Asymmetric unit:
Ni1 0.0000 0.0000 0.0000 x2
Rh1 0.0000 0.0000 0.3380 x4

---

No. 5
CdMo2As: optimized geometry, PBE-GGA.

ΔH_f (0 K)	0.39	eV/atom
excess energy over the best structure of this formula in the dataset	248.1	meV per atom

Cell: 3.2704 4.7608 8.8077 Å, 90.00 90.00 90.00°
Space group Cmmm (No. 65)
Asymmetric unit:
Cd1 0.0000 0.0000 0.0000 x2
Mo1 0.0000 0.5000 0.2780 x4
As1 0.0000 0.0000 0.5000 x2

---

No. 6
Al6Fe5Tc: optimized geometry, PBE-GGA.

ΔH_f (0 K)	-0.31	eV/atom

Cell: 4.0759 12.2295 5.9747 Å, 90.00 90.00 90.00°
Space group Cmmm (No. 65)
Asymmetric unit:
Al1 0.0000 0.0000 0.2338 x4
Al2 0.0000 0.3323 0.2344 x8
Fe1 0.0000 0.1672 0.0000 x4
Fe2 0.0000 0.1707 0.5000 x4
Fe3 0.0000 0.5000 0.0000 x2
Tc1 0.0000 0.5000 0.5000 x2

---

No. 7
RbHg4PbAu2: optimized geometry, PBE-GGA.

ΔH_f (0 K)	-0.07	eV/atom

Cell: 4.7830 4.7830 10.3919 Å, 90.00 90.00 90.00°
Space group P4/mmm (No. 123)
Asymmetric unit:
Rb1 0.0000 0.0000 0.0000 x1
Hg1 0.0000 0.5000 0.2953 x4
Pb1 0.0000 0.0000 0.5000 x1
Au1 0.5000 0.5000 0.1315 x2

---

No. 8
TaTeP2: optimized geometry, PBE-GGA.

formation energy from raw total energies	1.5	eV per formula unit

Cell: 3.4307 4.9483 9.9205 Å, 90.00 90.00 90.00°
Space group Immm (No. 71)
Asymmetric unit:
Ta1 0.0000 0.0000 0.0000 x2
Te1 0.0000 0.0000 0.5000 x2
P1 0.0000 0.5000 0.3133 x4

---

No. 9
Mg7Pt2Au2: optimized geometry, PBE-GGA.

ΔH_f (0 K)	-0.47	eV/atom
excess energy over the best structure of this formula in the dataset	157.4	meV per atom

Cell: 7.8104 9.4290 6.4043 Å, 90.00 90.00 90.00°
Space group Cmmm (No. 65)
Asymmetric unit:
Mg1 0.0000 0.0000 0.0000 x2
Mg2 0.0000 0.5000 0.2580 x4
Mg3 0.2500 0.2500 0.2644 x8
Pt1 0.0000 0.2804 0.0000 x4
Au1 0.1905 0.0000 0.5000 x4

---

No. 10
LaBeAsO: optimized geometry, PBE-GGA.

formation energy from raw total energies	-7.8	eV per formula unit

Cell: 4.0110 4.0110 10.3536 Å, 90.00 90.00 120.00°
Space group P6_3mc (No. 186)
Asymmetric unit:
La1 0.3333 0.6667 0.0000 x2
Be1 0.0000 0.0000 0.2238 x2
As1 0.3333 0.6667 0.2983 x2
O1 0.0000 0.0000 0.0710 x2

---

No. 11
Nb2PdBr8: optimized geometry, PBE-GGA.

formation energy from raw total energies	-7.1	eV per formula unit

Cell: 8.5349 11.5605 8.6484 Å, 90.00 93.18 90.00°
Space group C2/m (No. 12)
Asymmetric unit:
Nb1 0.0772 0.0000 0.1651 x4
Pd1 0.0000 0.0000 0.5000 x2
Br1 0.0185 0.1827 0.2965 x8
Br2 0.1479 0.5000 0.7015 x4
Br3 0.2276 0.0000 0.9200 x4

---

No. 12
Zr3BiPb: optimized geometry, PBE-GGA.

ΔH_f (0 K)	0.90	eV/atom
excess energy over the best structure of this formula in the dataset	1100.6	meV per atom

Cell: 5.3937 5.3937 5.3937 Å, 90.00 90.00 90.00°
Space group Pm-3m (No. 221)
Asymmetric unit:
Zr1 0.0000 0.0000 0.5000 x3
Bi1 0.5000 0.5000 0.5000 x1
Pb1 0.0000 0.0000 0.0000 x1